Material: YSbRh2
Method: DFT, GGA-PBE
State: relaxed

Calculated values
DOS(E_F): 1.07 states/eV per atom
Total magnetization: 0.00 μB/f.u.
E_tot: -6.218 eV/atom
Energy relative to the elements, uncorrected: 40 kJ/mol of formula units
Symmetry: Immm
Theoretical density: 8.3 g/cm³

abc: 6.080 6.080 6.080
angles: 58.83 150.60 130.27
Sites, in units of the cell vectors:
Rh 0.000 0.747 0.747
Rh 0.000 0.253 0.253
Sb 0.000 0.500 0.500
Y 0.000 0.000 0.000

=====

Material: DyHfPa
Method: DFT, GGA-PBE
State: relaxed

Calculated values
DOS(E_F): 2.24 states/eV per atom
Total magnetization: 0.00 μB/f.u.
E_tot: -7.117 eV/atom
E above lowest polymorph: 722 meV per atom
Symmetry: P4_2/mmc
Theoretical density: 10.2 g/cm³

abc: 5.502 8.220 8.220
angles: 90.00 90.00 90.00
Sites, in units of the cell vectors:
Pa 0.000 0.298 0.500
Pa 0.500 0.500 0.702
Pa 0.500 0.500 0.298
Pa 0.000 0.702 0.500
Hf 0.000 0.500 0.178
Hf 0.000 0.500 0.822
Hf 0.500 0.178 0.500
Hf 0.500 0.822 0.500
Dy 0.500 0.000 0.185
Dy 0.000 0.815 0.000
Dy 0.000 0.185 0.000
Dy 0.500 0.000 0.815

=====

Material: Cs2TlIn2Br6
Method: DFT, GGA-PBE
State: relaxed

Calculated values
DOS(E_F): 0.45 states/eV per atom
Total magnetization: 0.00 μB/f.u.
E_tot: -2.874 eV/atom
Energy relative to the elements, uncorrected: -1161 kJ/mol of formula units
Symmetry: C2/m
Theoretical density: 3.8 g/cm³

abc: 8.462 8.270 9.963
angles: 115.82 90.00 120.77
Sites, in units of the cell vectors:
Br 0.813 0.149 0.805
Br 0.337 0.149 0.805
Br 0.241 0.483 0.409
Br 0.759 0.517 0.591
Br 0.187 0.851 0.195
Br 0.663 0.851 0.195
In 0.030 0.060 0.165
In 0.970 0.940 0.835
Cs 0.289 0.577 0.808
Cs 0.711 0.423 0.192
Tl 0.500 0.000 0.500

=====

Material: ZrSnTe3
Method: DFT, GGA-PBE
State: relaxed

Calculated values
DOS(E_F): 0.86 states/eV per atom
Total magnetization: 0.00 μB/f.u.
E_tot: -4.525 eV/atom
Energy relative to the elements, uncorrected: -63 kJ/mol of formula units
E above lowest polymorph: 395 meV per atom
Symmetry: Pm-3m
Theoretical density: 5.6 g/cm³

abc: 5.608 5.608 5.608
angles: 90.00 90.00 90.00
Sites, in units of the cell vectors:
Te 0.000 0.500 0.000
Te 0.000 0.000 0.500
Te 0.500 0.000 0.000
Sn 0.500 0.500 0.500
Zr 0.000 0.000 0.000